Here is a relaxed structure of KLiHo2Mo4O16 from Alexandria. Energies are from GGA+U.

E_tot: -686.6 eV for the cell shown
M_tot: 0.00 Bohr magnetons per cell
D(E_F): 0.000 states/eV per atom

Cell: 5.2613 12.7268 19.8472 Å, 90.00 94.39 90.00°
Space group C2/c (No. 15)
Asymmetric unit:
K1 0.0000 0.0316 0.2500 [4 per cell]
Li1 0.0000 0.3127 0.2500 [4 per cell]
Ho1 0.0014 0.1467 0.4689 [8 per cell]
Mo1 0.0175 0.2551 0.6449 [8 per cell]
Mo2 0.0232 0.4377 0.0912 [8 per cell]
O1 0.0968 0.4086 0.3301 [8 per cell]
O2 0.1190 0.1344 0.8318 [8 per cell]
O3 0.1664 0.3326 0.0400 [8 per cell]
O4 0.1880 0.2379 0.5659 [8 per cell]
O5 0.2281 0.4501 0.5993 [8 per cell]
O6 0.2318 0.2948 0.7129 [8 per cell]
O7 0.2366 0.0202 0.5379 [8 per cell]
O8 0.2472 0.3451 0.8713 [8 per cell]